A:
# PrSiPt3 (PBE, relaxed)
# **Density**: 12.331 g/cm3
data_PrSiPt3
_chemical_formula_sum 'Pr1 Si1 Pt3'
_symmetry_space_group_name_H-M 'P 1'
_symmetry_Int_Tables_number 1
_symmetry_space_group_name_Hall 'P 1'
_cell_length_a 4.723
_cell_length_b 4.723
_cell_length_c 4.693
_cell_angle_alpha 90.00
_cell_angle_beta 90.00
_cell_angle_gamma 104.04
loop_
_atom_site_label
_atom_site_type_symbol
_atom_site_fract_x
_atom_site_fract_y
_atom_site_fract_z
Pr1 Pr 0.000 0.000 0.000
Si1 Si 0.500 0.500 0.500
Pt1 Pt 0.000 0.500 0.500
Pt2 Pt 0.500 0.000 0.500
Pt3 Pt 0.500 0.500 0.000

---

B:
# PrSiPt3 (PBE, relaxed)
# **Density**: 13.429 g/cm3
data_PrSiPt3
_chemical_formula_sum 'Pr1 Si1 Pt3'
_symmetry_space_group_name_H-M 'P 1'
_symmetry_Int_Tables_number 1
_symmetry_space_group_name_Hall 'P 1'
_cell_length_a 6.230
_cell_length_b 6.230
_cell_length_c 6.230
_cell_angle_alpha 141.44
_cell_angle_beta 141.44
_cell_angle_gamma 55.67
loop_
_atom_site_label
_atom_site_type_symbol
_atom_site_fract_x
_atom_site_fract_y
_atom_site_fract_z
Pr1 Pr 0.000 0.000 0.000
Si1 Si 0.372 0.372 0.000
Pt1 Pt 0.257 0.757 0.500
Pt2 Pt 0.582 0.582 0.000
Pt3 Pt 0.757 0.257 0.500

---

The structure with the most favorable energy is B; the runner-up is 314 meV per atom above it.